Li4ZrSc, relaxed, DFT PBE; formation enthalpy at 0 K = 0.269 eV per atom; space-group type = F-43m, No. 216
1.0
0.000 3.871 3.871
3.871 0.000 3.871
3.871 3.871 0.000
Li Zr Sc
4 1 1
direct
0.877 0.374 0.374
0.374 0.374 0.877
0.374 0.877 0.374
0.374 0.374 0.374
0.000 0.000 0.000
0.750 0.750 0.750

CeHo2Al, relaxed, DFT PBE; formation enthalpy at 0 K = -0.152 eV per atom; space-group type = P4/mmm, No. 123
1.0
-0.327 -3.385 -0.629
1.048 0.504 -3.257
8.505 -1.293 2.536
Ho Ce Al
2 1 1
direct
0.000 0.000 0.783
0.000 0.000 0.217
0.500 0.500 0.500
0.500 0.500 0.000

HfCo2Ge, relaxed, DFT PBE; formation enthalpy at 0 K = -0.356 eV per atom; space-group type = P4/mmm, No. 123
1.0
3.390 0.000 0.000
0.000 4.038 0.000
0.000 0.000 4.038
Co Ge Hf
2 1 1
direct
0.000 0.000 0.500
0.000 0.500 0.000
0.500 0.000 0.000
0.500 0.500 0.500

Hf8Al, relaxed, DFT PBE; formation enthalpy at 0 K = -0.069 eV per atom; space-group type = I4/mmm, No. 139
1.0
3.977 0.000 1.732
1.988 6.697 0.866
-0.686 0.000 7.006
Hf Al
8 1
direct
0.335 0.000 0.329
0.665 0.000 0.671
0.668 0.332 0.332
0.335 0.329 0.000
0.000 0.332 0.668
0.665 0.671 0.000
0.332 0.668 0.668
0.000 0.668 0.332
0.000 0.000 0.000

Tb2HfZr, relaxed, DFT PBE; formation enthalpy at 0 K = 0.341 eV per atom; space-group type = R-3m, No. 166
1.0
3.274 0.000 0.000
1.637 2.835 0.000
1.637 0.945 11.606
Tb Hf Zr
2 1 1
direct
0.090 0.090 0.730
0.910 0.910 0.270
0.000 0.000 0.000
0.500 0.500 0.500

Sc2AgSbC, relaxed, DFT PBE; space-group type = P4/mmm, No. 123; formation energy from raw total energies = -0.379 eV/atom
1.0
-1.414 2.925 3.197
2.893 -1.727 2.860
3.142 3.008 -1.362
Sc Sb C Ag
2 1 1 1
direct
0.000 0.000 0.500
0.500 0.000 0.000
0.500 0.500 0.500
0.000 0.000 0.000
0.000 0.500 0.000

Er2ScHgN, relaxed, DFT PBE; space-group type = P4/mmm, No. 123; formation energy from raw total energies = -0.992 eV/atom
1.0
-2.486 -1.434 -3.418
-2.863 -2.275 3.037
-2.719 3.884 0.347
Er Sc Hg N
2 1 1 1
direct
0.000 0.000 0.500
0.000 0.500 0.000
0.500 0.000 0.000
0.500 0.500 0.500
0.000 0.000 0.000

V5HgSe8, relaxed, DFT PBE; space-group type = C2/m, No. 12; formation energy from raw total energies = -0.648 eV/atom
1.0
-1.162 -2.518 2.033
7.745 -4.629 -1.304
2.332 6.468 6.436
V Hg Se
5 1 8
direct
0.290 0.654 0.581
0.710 0.346 0.419
0.356 0.000 0.711
0.644 0.000 0.289
0.000 0.000 0.000
0.500 0.500 0.000
0.240 0.153 0.480
0.760 0.847 0.520
0.162 0.501 0.325
0.838 0.499 0.675
0.086 0.820 0.173
0.914 0.180 0.827
0.429 0.816 0.859
0.571 0.185 0.141

NbCo3Au, relaxed, DFT PBE; formation enthalpy at 0 K = 1.658 eV per atom; space-group type = Pm-3m, No. 221
1.0
4.577 0.000 0.000
0.000 4.577 0.000
0.000 0.000 4.577
Co Nb Au
3 1 1
direct
0.000 0.500 0.000
0.000 0.000 0.500
0.500 0.000 0.000
0.500 0.500 0.500
0.000 0.000 0.000

CaNd2Ga, relaxed, DFT PBE; formation enthalpy at 0 K = -0.206 eV per atom; space-group type = Cmcm, No. 63
1.0
4.488 0.001 0.000
-2.244 6.051 0.000
0.000 0.000 9.397
Ca Nd Ga
2 4 2
direct
0.938 0.875 0.250
0.062 0.125 0.750
0.353 0.707 0.553
0.647 0.293 0.447
0.353 0.707 0.947
0.647 0.293 0.053
0.753 0.505 0.750
0.247 0.495 0.250

SrCu3, relaxed, DFT PBE; formation enthalpy at 0 K = 0.170 eV per atom; space-group type = Pmmm, No. 47
1.0
-3.309 0.524 0.128
-0.422 -3.006 1.387
0.652 2.658 5.959
Cu Sr
3 1
direct
0.500 0.500 0.679
0.000 0.000 0.500
0.500 0.500 0.321
0.000 0.000 0.000

Al2NiBr, relaxed, DFT PBE; space-group type = I-42d, No. 122; formation energy from raw total energies = 0.103 eV/atom
1.0
5.992 0.000 0.000
0.000 5.992 0.000
2.996 2.996 5.486
Ni Al Br
2 4 2
direct
0.500 0.500 0.000
0.250 0.750 0.500
0.546 0.125 0.250
0.204 0.625 0.250
0.375 0.454 0.750
0.875 0.796 0.750
0.000 0.000 0.000
0.750 0.250 0.500

Number 1: theoretical density 2347 kg/m3. Number 2: theoretical density 7692 kg/m3. Number 3: theoretical density 11084 kg/m3. Number 4: theoretical density 12421 kg/m3. Number 5: theoretical density 9057 kg/m3. Number 6: theoretical density 5995 kg/m3. Number 7: theoretical density 9782 kg/m3. Number 8: theoretical density 6407 kg/m3. Number 9: theoretical density 8083 kg/m3. Number 10: theoretical density 5183 kg/m3. Number 11: theoretical density 6297 kg/m3. Number 12: theoretical density 3247 kg/m3.